Computed, not measured: a PBEsol-optimized structure of YPCl2 at the meta-GGA SCAN level of DFT.

Lattice parameters (Å, degrees): 9.3192 3.8146 6.2919 90.00 100.75 90.00
Closest atoms and distances in Å follow each position.
Space group Cm (No. 8)
One atom of each set of equivalent atoms:
Y (0.0000, 0.0000, 0.0000) (multiplicity 2)  4 Cl 2.70-2.82, 3 P 2.71-2.81
P (0.2108, 0.5000, 0.0711) (multiplicity 2)  1 Cl 2.19
Cl (0.0831, 0.5000, 0.3309) (multiplicity 2)  1 P 2.19
Cl (0.3689, 0.0000, 0.7279) (multiplicity 2)  2 Y 2.70

## Properties
formation energy from raw total energies	-1.39	eV/atom
total energy	-14.939	eV per atom